(1)
Computed, not measured: a relaxed Cs2Sc2Se2S crystal at the GGA-PBE level of DFT.

Computed properties:
Calculated total energy, eV per cell: -34.5
Symmetry: I4/mmm (139)
Formation energy from raw total energies, eV per atom: -1.28

Cell: 9.879 9.879 9.879 Å, 151.42 151.42 40.87°
Positions (direct):
Cs: 0.180 0.180 0.000
Cs: 0.820 0.820 0.000
Sc: 0.000 0.500 0.500
Sc: 0.500 0.000 0.500
Se: 0.403 0.403 0.000
Se: 0.597 0.597 0.000
S: 0.000 0.000 0.000

=====

(2)
Computed, not measured: a relaxed CsScSiS4 crystal at the GGA-PBE level of DFT.

Computed properties:
Calculated total energy, eV per cell: -76.8
Symmetry: P2_1/m (11)
Formation energy from raw total energies, eV per atom: -1.32

Cell: 6.193 6.714 9.395 Å, 90.00 108.99 90.00°
Positions (direct):
Cs: 0.241 0.250 0.442
Cs: 0.759 0.750 0.558
Sc: 0.283 0.250 0.957
Sc: 0.717 0.750 0.043
Si: 0.268 0.750 0.149
Si: 0.732 0.250 0.851
S: 0.039 0.750 0.928
S: 0.072 0.750 0.295
S: 0.495 0.005 0.819
S: 0.495 0.495 0.819
S: 0.505 0.505 0.181
S: 0.505 0.995 0.181
S: 0.928 0.250 0.705
S: 0.961 0.250 0.072

=====

(3)
Computed, not measured: a relaxed Cs2ScSiS4 crystal at the GGA-PBE level of DFT.

Computed properties:
Calculated total energy, eV per cell: -79.0
Symmetry: Fddd (70)
Formation energy from raw total energies, eV per atom: -1.19

Cell: 14.556 13.098 7.759 Å, 84.39 63.57 32.04°
Positions (direct):
Cs: 0.052 0.052 0.698
Cs: 0.302 0.302 0.948
Cs: 0.698 0.698 0.052
Cs: 0.948 0.948 0.302
Sc: 0.125 0.125 0.125
Sc: 0.875 0.875 0.875
Si: 0.375 0.375 0.375
Si: 0.625 0.625 0.625
S: 0.025 0.632 0.552
S: 0.291 0.552 0.632
S: 0.368 0.975 0.709
S: 0.448 0.709 0.975
S: 0.552 0.291 0.025
S: 0.632 0.025 0.291
S: 0.709 0.448 0.368
S: 0.975 0.368 0.448

=====

(4)
Computed, not measured: a relaxed Cs3SmSc2S6 crystal at the GGA-PBE level of DFT.

Computed properties:
Calculated total energy, eV per cell: -65.3
Symmetry: C2/m (12)
Formation energy from raw total energies, eV per atom: -1.71

Cell: 6.931 6.931 8.338 Å, 97.97 97.97 119.99°
Positions (direct):
Cs: 0.000 0.000 0.000
Cs: 0.336 0.664 0.000
Cs: 0.664 0.336 0.000
Sm: 0.500 0.500 0.500
Sc: 0.167 0.833 0.500
Sc: 0.833 0.167 0.500
S: 0.090 0.441 0.323
S: 0.208 0.208 0.676
S: 0.441 0.090 0.323
S: 0.559 0.910 0.677
S: 0.792 0.792 0.324
S: 0.910 0.559 0.677